A plane-wave DFT calculation with PBE was carried out for a geometry-optimized Cu4HgPd5 structure.

Properties
Its uncorrected energy is -43.969 eV per cell. For the total magnetization, the calculation gives 0.0 μB per formula unit. As for the space group: P4/mmm (123).

```
Cu4HgPd5
1.0
3.0650 0.0000 0.0000
0.0000 3.0650 0.0000
0.0000 0.0000 15.5654
Cu Hg Pd
4 1 5
Direct
0.0000 0.0000 0.0941 Cu
0.0000 0.0000 0.2823 Cu
0.0000 0.0000 0.7177 Cu
0.0000 0.0000 0.9059 Cu
0.0000 0.0000 0.5000 Hg
0.5000 0.5000 0.0000 Pd
0.5000 0.5000 0.1891 Pd
0.5000 0.5000 0.3791 Pd
0.5000 0.5000 0.6209 Pd
0.5000 0.5000 0.8109 Pd
```